A relaxed PuNi2BiO6 crystal, computed with GGA+U.

abc: 6.1600 6.1600 4.1847
angles: 90.00 90.00 90.00
Sites, in units of the cell vectors:
Pu 0.0000 0.0000 0.0000
Ni 0.0000 0.5000 0.0054
Ni 0.5000 0.0000 0.0054
Bi 0.5000 0.5000 0.9943
O 0.0000 0.0000 0.5004
O 0.2367 0.2367 0.0011
O 0.2367 0.7633 0.0011
O 0.5000 0.5000 0.4949
O 0.7633 0.2367 0.0011
O 0.7633 0.7633 0.0011

Total DFT energy (no corrections), eV/f.u.: -65.24
Space group: P4mm (99)
Crystal system: tetragonal